Entry 1:
7
Lattice="-2.1750 2.1750 6.6471 2.1750 -2.1750 6.6471 2.1750 2.1750 -6.6471" Properties=species:S:1:pos:R:3 comment="Sc2UTc4 (GGA-PBE, optimized geometry)" delta_e_f_kcal_per_mol_atoms=0.8 spacegroup="I4/mmm (139)" pbc="T T T"
Sc 0.0000 0.0000 3.2528
Sc 0.0000 0.0000 10.0413
U 0.0000 0.0000 6.6471
Tc 2.1750 0.0000 1.4022
Tc 2.1750 0.0000 5.2449
Tc 0.0000 2.1750 1.4022
Tc 0.0000 2.1750 5.2449

Entry 2:
12
Lattice="2.3379 -6.8395 0.0000 2.3379 6.8395 0.0000 0.0000 0.0000 6.4829" Properties=species:S:1:pos:R:3 comment="Sc5UTc6 (GGA-PBE, optimized geometry)" delta_e_f_kcal_per_mol_atoms=-6.3 spacegroup="Cmmm (65)" pbc="T T T"
Sc 0.0000 0.0000 0.0000
Sc 2.3379 2.4108 3.2414
Sc 2.3379 2.3129 0.0000
Sc 2.3379 -2.3129 0.0000
Sc 2.3379 -2.4108 3.2414
U 0.0000 0.0000 3.2414
Tc 2.3379 4.7372 1.6939
Tc 2.3379 4.7372 4.7890
Tc 2.3379 0.0000 1.7713
Tc 2.3379 0.0000 4.7115
Tc 2.3379 -4.7372 1.6939
Tc 2.3379 -4.7372 4.7890

Entry 3:
12
Lattice="2.3622 -6.9083 0.0000 2.3622 6.9083 0.0000 -0.6144 0.0000 6.5398" Properties=species:S:1:pos:R:3 comment="Sc2UTc3 (GGA-PBE, optimized geometry)" delta_e_f_kcal_per_mol_atoms=-7.0 spacegroup="C2/m (12)" pbc="T T T"
Sc 0.0000 0.0000 0.0000
Sc -0.3072 0.0000 3.2699
Sc 2.3622 2.2594 0.0000
Sc 2.3622 -2.2594 0.0000
U 2.0550 2.2354 3.2699
U 2.0550 -2.2354 3.2699
Tc 1.7358 4.5381 4.7738
Tc 2.3741 4.5381 1.7661
Tc 1.8947 0.0000 4.8175
Tc 2.2152 0.0000 1.7223
Tc 1.7358 -4.5381 4.7738
Tc 2.3741 -4.5381 1.7661

Entry 4:
8
Lattice="-3.2579 3.2579 3.2579 3.2579 -3.2579 3.2579 3.2579 3.2579 -3.2579" Properties=species:S:1:pos:R:3 comment="Sc3UTc4 (GGA-PBE, optimized geometry)" delta_e_f_kcal_per_mol_atoms=-5.5 spacegroup="Im-3m (229)" pbc="T T T"
Sc 3.2579 0.0000 0.0000
Sc 0.0000 3.2579 0.0000
Sc 0.0000 0.0000 3.2579
U 0.0000 0.0000 0.0000
Tc 1.6290 1.6290 -1.6290
Tc 1.6290 -1.6290 1.6290
Tc -1.6290 1.6290 1.6290
Tc 1.6290 1.6290 1.6290

Entry 5:
8
Lattice="-3.6500 3.6500 2.8124 3.6500 -3.6500 2.8124 3.6500 3.6500 -2.8124" Properties=species:S:1:pos:R:3 comment="Sc2VTc (GGA-PBE, optimized geometry)" delta_e_f_kcal_per_mol_atoms=12.3 spacegroup="I-42d (122)" de_polymorph_ev_per_fu=1.88 pbc="T T T"
Sc 5.4750 1.7391 -0.7031
Sc 1.7391 1.8250 0.7031
Sc -1.8250 1.9109 2.1093
Sc 1.9109 1.8250 3.5155
V 3.6500 0.0000 1.4062
V 0.0000 0.0000 2.8124
Tc 0.0000 0.0000 0.0000
Tc 0.0000 3.6500 1.4062

Entry 6:
6
Lattice="3.0646 0.0000 0.0000 0.0000 3.0646 0.0000 0.0000 0.0000 9.5208" Properties=species:S:1:pos:R:3 comment="ScV2Tc3 (GGA-PBE, optimized geometry)" delta_e_f_kcal_per_mol_atoms=-6.7 spacegroup="P4/mmm (123)" pbc="T T T"
Sc 0.0000 0.0000 0.0000
V 0.0000 0.0000 3.2288
V 0.0000 0.0000 6.2920
Tc 1.5323 1.5323 1.8095
Tc 1.5323 1.5323 4.7604
Tc 1.5323 1.5323 7.7112

Entry 7:
10
Lattice="3.0487 0.0000 0.0000 0.0000 3.0487 0.0000 0.0000 0.0000 15.5883" Properties=species:S:1:pos:R:3 comment="ScV4Tc5 (GGA-PBE, optimized geometry)" delta_e_f_kcal_per_mol_atoms=-7.5 spacegroup="P4/mmm (123)" pbc="T T T"
Sc 0.0000 0.0000 0.0000
V 0.0000 0.0000 3.2207
V 0.0000 0.0000 6.2718
V 0.0000 0.0000 9.3166
V 0.0000 0.0000 12.3676
Tc 1.5243 1.5243 1.8295
Tc 1.5243 1.5243 4.8020
Tc 1.5243 1.5243 7.7942
Tc 1.5243 1.5243 10.7863
Tc 1.5243 1.5243 13.7588

Entry 8:
4
Lattice="1.4621 0.8441 9.7772 -1.4621 0.8441 9.7772 0.0000 -1.6882 9.7772" Properties=species:S:1:pos:R:3 comment="Sc2VTc (GGA-PBE, optimized geometry)" delta_e_f_kcal_per_mol_atoms=11.7 spacegroup="R-3m (166)" de_polymorph_ev_per_fu=1.77 pbc="T T T"
Sc 0.0000 0.0000 2.5517
Sc 0.0000 0.0000 26.7800
V 0.0000 0.0000 14.6658
Tc 0.0000 0.0000 0.0000